Entry 1:
SrLaSiN3 | Alexandria via LeMat-Bulk | PBE | relaxed; SG = C2/m (12); raw total energy = -84.4 eV/cell
1.0
6.4929 -1.9537 0.0000
6.4929 1.9537 0.0000
-2.1559 0.0000 7.1545
Sr La Si N
2 2 2 6
direct
0.1466 0.1466 0.0705 Sr
0.8534 0.8534 0.9295 Sr
0.1498 0.1498 0.5793 La
0.8502 0.8502 0.4207 La
0.4981 0.4981 0.7390 Si
0.5019 0.5019 0.2610 Si
0.0032 0.0032 0.2725 N
0.3534 0.3534 0.6722 N
0.3584 0.3584 0.1853 N
0.6416 0.6416 0.8147 N
0.6466 0.6466 0.3278 N
0.9968 0.9968 0.7275 N

Entry 2:
La3TbSi2N6 | Alexandria via LeMat-Bulk | PBE | relaxed; SG = P-3m1 (164); raw total energy = -93.7 eV/cell
1.0
5.9040 0.0000 0.0000
-2.9520 5.1130 0.0000
0.0000 0.0000 6.5778
La Tb Si N
3 1 2 6
direct
0.0000 0.0000 0.0000 La
0.3333 0.6667 0.6474 La
0.6667 0.3333 0.3526 La
0.0000 0.0000 0.5000 Tb
0.3333 0.6667 0.1931 Si
0.6667 0.3333 0.8069 Si
0.1762 0.3523 0.2835 N
0.1762 0.8238 0.2835 N
0.3523 0.1762 0.7165 N
0.6477 0.8238 0.2835 N
0.8238 0.1762 0.7165 N
0.8238 0.6477 0.7165 N

Entry 3:
La2SiTcN | Alexandria via LeMat-Bulk | PBE | relaxed; SG = P4/mmm (123); raw total energy = -37.0 eV/cell
1.0
5.1886 0.0000 0.0000
0.0000 5.1886 0.0000
0.0000 0.0000 3.9336
La Si Tc N
2 1 1 1
direct
0.0000 0.5000 0.0000 La
0.5000 0.0000 0.0000 La
0.0000 0.0000 0.5000 Si
0.5000 0.5000 0.5000 Tc
0.5000 0.5000 0.0000 N

Entry 4:
LaSiTc2N | Alexandria via LeMat-Bulk | PBE | relaxed; SG = Cmcm (63); raw total energy = -86.1 eV/cell
1.0
1.9356 -5.6425 0.0000
1.9356 5.6425 0.0000
0.0000 0.0000 7.4220
La Si Tc N
2 2 4 2
direct
0.0450 0.9550 0.7500 La
0.9550 0.0450 0.2500 La
0.2318 0.7682 0.2500 Si
0.7682 0.2318 0.7500 Si
0.3317 0.6683 0.5581 Tc
0.3317 0.6683 0.9419 Tc
0.6683 0.3317 0.0581 Tc
0.6683 0.3317 0.4419 Tc
0.5000 0.5000 0.0000 N
0.5000 0.5000 0.5000 N

Entry 5:
LaSiTcN | Alexandria via LeMat-Bulk | PBE | relaxed; SG = P4/nmm (129); raw total energy = -65.7 eV/cell
1.0
3.9544 0.0000 0.0000
0.0000 3.9544 0.0000
0.0000 0.0000 8.6429
La Si Tc N
2 2 2 2
direct
0.2500 0.2500 0.1539 La
0.7500 0.7500 0.8461 La
0.2500 0.2500 0.6665 Si
0.7500 0.7500 0.3335 Si
0.2500 0.7500 0.5000 Tc
0.7500 0.2500 0.5000 Tc
0.2500 0.2500 0.8721 N
0.7500 0.7500 0.1279 N

Entry 6:
LaSiTe2N | Alexandria via LeMat-Bulk | PBE | relaxed; SG = P4/mmm (123); raw total energy = -22.2 eV/cell
1.0
6.3852 0.0000 0.0000
0.0000 6.3852 0.0000
0.0000 0.0000 3.9966
La Si Te N
1 1 2 1
direct
0.0000 0.0000 0.0000 La
0.5000 0.5000 0.5000 Si
0.0000 0.5000 0.0000 Te
0.5000 0.0000 0.0000 Te
0.0000 0.0000 0.5000 N

Question: Among the records above, which one has the highest raw total energy?
Answer: LaSiTe2N

Question: Number 3 is which compound?
Answer: La2SiTcN